1.
Computed, not measured: an optimized crystal structure of Na4La3TlS8 at the GGA-PBE level of DFT.

Properties
**E**: -4.960 eV per atom
**SG**: R-3m (166)

Cell lengths 8.3081, 8.2617, 8.3109 Å; angles 120.20, 119.99, 90.00 degrees
Element x y z (fractional)
Na  0.5000  0.0000  0.0000
Na  0.5000  0.0000  0.5000
Na  0.0000  0.0000  0.0000
Na  0.0000  0.0000  0.5000
La  0.5000  0.5000  0.0000
La  0.5000  0.5000  0.5000
La  0.0000  0.5000  0.5000
Tl  0.0000  0.5000  0.0000
S  0.2415  0.7369  0.9953
S  0.2423  0.7375  0.4845
S  0.2557  0.2669  0.5115
S  0.7537  0.7369  0.9953
S  0.2463  0.2631  0.0047
S  0.7443  0.7331  0.4885
S  0.7577  0.2626  0.5155
S  0.7585  0.2631  0.0047



2.
Computed, not measured: an optimized crystal structure of NaLaTm4S8 at the GGA-PBE level of DFT.

Properties
**E**: -6.039 eV per atom
**SG**: R3m (160)

Cell lengths 8.0064, 8.0064, 8.1909 Å; angles 60.74, 60.74, 60.00 degrees
Element x y z (fractional)
Na  0.3723  0.3723  0.8831
La  0.0034  0.0034  0.9897
Tm  0.6263  0.6263  0.1211
Tm  0.0049  0.4863  0.5039
Tm  0.4863  0.0049  0.5039
Tm  0.0049  0.0049  0.5039
S  0.2473  0.7825  0.7228
S  0.7825  0.2473  0.7228
S  0.2473  0.2473  0.7228
S  0.2378  0.2378  0.2867
S  0.7487  0.2316  0.2710
S  0.2316  0.7487  0.2710
S  0.7487  0.7487  0.2710
S  0.7579  0.7579  0.7262



3.
Computed, not measured: an optimized crystal structure of NaLa2TmS4 at the GGA-PBE level of DFT.

Properties
**E**: -5.963 eV per atom
**SG**: P2/m (10)

Cell lengths 4.0483, 7.0421, 6.9843 Å; angles 109.41, 90.00, 90.00 degrees
Element x y z (fractional)
Na  0.5000  0.5000  0.0000
La  0.5000  0.0000  0.5000
La  0.0000  0.5000  0.5000
Tm  0.0000  0.0000  0.0000
S  0.5000  0.2372  0.2296
S  0.5000  0.7628  0.7704
S  0.0000  0.2447  0.7627
S  0.0000  0.7553  0.2373



4.
Computed, not measured: an optimized crystal structure of Na2LaTmS4 at the GGA-PBE level of DFT.

Properties
**E**: -5.408 eV per atom
**SG**: P2/m (10)

Cell lengths 4.0792, 7.0782, 7.0732 Å; angles 109.48, 90.00, 90.00 degrees
Element x y z (fractional)
Na  0.5000  0.0000  0.5000
Na  0.0000  0.5000  0.5000
La  0.5000  0.5000  0.0000
Tm  0.0000  0.0000  0.0000
S  0.5000  0.2292  0.2259
S  0.5000  0.7708  0.7741
S  0.0000  0.2413  0.7685
S  0.0000  0.7587  0.2315



5.
Computed, not measured: an optimized crystal structure of NaLaTm2S4 at the GGA-PBE level of DFT.

Properties
**E**: -5.902 eV per atom
**SG**: P2/m (10)

Cell lengths 3.9240, 7.0016, 6.8371 Å; angles 71.23, 90.00, 90.00 degrees
Element x y z (fractional)
Na  0.0000  0.5000  0.5000
La  0.5000  0.5000  0.0000
Tm  0.0000  0.0000  0.0000
Tm  0.5000  0.0000  0.5000
S  0.0000  0.7707  0.7383
S  0.0000  0.2293  0.2617
S  0.5000  0.7706  0.2451
S  0.5000  0.2294  0.7549



6.
Computed, not measured: an optimized crystal structure of Na3LaTm2S6 at the GGA-PBE level of DFT.

Properties
**E**: -5.396 eV per atom
**SG**: C2/m (12)

Cell lengths 6.9826, 6.9826, 7.0740 Å; angles 99.49, 99.49, 120.02 degrees
Element x y z (fractional)
Na  0.1664  0.8336  0.5000
Na  0.8336  0.1664  0.5000
Na  0.5000  0.5000  0.5000
La  0.0000  0.0000  0.0000
Tm  0.3331  0.6669  0.0000
Tm  0.6669  0.3331  0.0000
S  0.9244  0.5758  0.7738
S  0.7273  0.7273  0.2280
S  0.0756  0.4242  0.2262
S  0.5758  0.9244  0.7738
S  0.2727  0.2727  0.7720
S  0.4242  0.0756  0.2262